B2C: optimized geometry, PBE.

Values from the calculation:
Formation energy (kJ per mole of atoms): 43
Energy relative to the lowest polymorph listed for this composition (eV/atom): 0.265
Symmetry: No. 8
Uncorrected energy (eV/cell): -84.92
Fermi-level density of states (states/eV per atom): 0.239
V (Å³ per atom): 7.17

Lattice parameters (Å, degrees): 6.8696 6.8696 4.9579 103.72 103.72 22.27
Positions (direct):
B: 0.0000 0.0000 0.0000
B: 0.3343 0.3343 0.6605
B: 0.5035 0.5035 0.5977
B: 0.5742 0.5742 0.1950
B: 0.6979 0.6979 0.3786
B: 0.7218 0.7218 0.0205
B: 0.8436 0.8436 0.2773
B: 0.8666 0.8666 0.9342
C: 0.0565 0.0565 0.7400
C: 0.1725 0.1725 0.8237
C: 0.2120 0.2120 0.5665
C: 0.3924 0.3924 0.4212